First-principles (PBE) data for crystalline Re3WN at its relaxed geometry, as listed in the Alexandria database.

## Properties
E_tot, eV/atom: -11.50
Raw formation energy, kJ/mol of formula units: 109
Relative energy among the computed polymorphs, meV per atom: 0

a b c (Å): 4.075 4.075 4.075
angles (deg): 90.00 90.00 90.00
Space group Pm-3m (No. 221)
Inequivalent atoms, fractional coordinates:
Re 0.000 0.000 0.500
W 0.500 0.500 0.500
N 0.000 0.000 0.000

First-principles (PBE) data for crystalline ReW2N at its relaxed geometry, as listed in the Alexandria database.

## Properties
E_tot, eV/atom: -11.07
Raw formation energy, kJ/mol of formula units: 232

a b c (Å): 5.164 5.164 10.133
angles (deg): 90.00 90.00 90.00
Space group I-42d (No. 122)
Inequivalent atoms, fractional coordinates:
Re 0.000 0.000 0.000
W 0.163 0.250 0.625
N 0.000 0.000 0.500

First-principles (PBE) data for crystalline ReWN at its relaxed geometry, as listed in the Alexandria database.

## Properties
E_tot, eV/atom: -10.48
Raw formation energy, kJ/mol of formula units: 221
Relative energy among the computed polymorphs, meV per atom: 580

a b c (Å): 3.8771 3.8771 2.9034
angles (deg): 90.00 90.00 120.00
Space group P3m1 (No. 156)
Inequivalent atoms, fractional coordinates:
Re 0.0000 0.0000 0.0000
W 0.6667 0.3333 0.5028
N 0.3333 0.6667 0.9972

First-principles (PBE) data for crystalline ReW2N at its relaxed geometry, as listed in the Alexandria database.

## Properties
E_tot, eV/atom: -11.32
Raw formation energy, kJ/mol of formula units: 136

a b c (Å): 2.743 2.743 6.874
angles (deg): 90.00 90.00 90.00
Space group P4/mmm (No. 123)
Inequivalent atoms, fractional coordinates:
Re 0.000 0.000 0.000
W 0.500 0.500 0.299
N 0.000 0.000 0.500

First-principles (PBE) data for crystalline ReW2N at its relaxed geometry, as listed in the Alexandria database.

## Properties
E_tot, eV/atom: -11.57
Raw formation energy, kJ/mol of formula units: 40

a b c (Å): 2.8694 2.8694 22.0663
angles (deg): 90.00 90.00 120.00
Space group R-3m (No. 166, hexagonal axes)
Inequivalent atoms, fractional coordinates:
Re 0.0000 0.0000 0.0000
W 0.0000 0.0000 0.2309
N 0.0000 0.0000 0.5000

First-principles (PBE) data for crystalline ReW3N at its relaxed geometry, as listed in the Alexandria database.

## Properties
E_tot, eV/atom: -8.75
Raw formation energy, kJ/mol of formula units: 1533
Relative energy among the computed polymorphs, meV per atom: 3102

a b c (Å): 4.755 4.755 4.755
angles (deg): 90.00 90.00 90.00
Space group Pm-3m (No. 221)
Inequivalent atoms, fractional coordinates:
Re 0.000 0.000 0.000
W 0.000 0.000 0.500
N 0.500 0.500 0.500

First-principles (PBE) data for crystalline ReWN at its relaxed geometry, as listed in the Alexandria database.

## Properties
E_tot, eV/atom: -11.06
Raw formation energy, kJ/mol of formula units: 54
Relative energy among the computed polymorphs, meV per atom: 0

a b c (Å): 4.086 4.086 9.011
angles (deg): 90.00 90.00 90.00
Space group I4_1md (No. 109)
Inequivalent atoms, fractional coordinates:
Re 0.000 0.000 0.000
W 0.000 0.000 0.557
N 0.000 0.000 0.314

First-principles (PBE) data for crystalline Re3WN at its relaxed geometry, as listed in the Alexandria database.

## Properties
E_tot, eV/atom: -8.14
Raw formation energy, kJ/mol of formula units: 1730
Relative energy among the computed polymorphs, meV per atom: 3362

a b c (Å): 4.718 4.718 4.718
angles (deg): 90.00 90.00 90.00
Space group Pm-3m (No. 221)
Inequivalent atoms, fractional coordinates:
Re 0.000 0.000 0.500
W 0.000 0.000 0.000
N 0.500 0.500 0.500

First-principles (PBE) data for crystalline YReN3 at its relaxed geometry, as listed in the Alexandria database.

## Properties
E_tot, eV/atom: -9.25
Raw formation energy, kJ/mol of formula units: -226

a b c (Å): 2.962 6.140 8.263
angles (deg): 90.00 90.00 90.00
Space group Pmmn (No. 59, origin choice 2)
Inequivalent atoms, fractional coordinates:
Y 0.250 0.250 0.212
Re 0.250 0.750 0.230
N 0.250 0.030 0.715
N 0.250 0.750 0.018

First-principles (PBE) data for crystalline YReN3 at its relaxed geometry, as listed in the Alexandria database.

## Properties
E_tot, eV/atom: -9.35
Raw formation energy, kJ/mol of formula units: -278

a b c (Å): 7.093 5.253 8.348
angles (deg): 90.00 113.74 90.00
Space group P2_1/c (No. 14)
Inequivalent atoms, fractional coordinates:
Y 0.207 0.246 0.123
Re 0.412 0.721 0.507
N 0.147 0.684 0.488
N 0.324 0.090 0.409
N 0.441 0.557 0.310

First-principles (PBE) data for crystalline YReN3 at its relaxed geometry, as listed in the Alexandria database.

## Properties
E_tot, eV/atom: -9.25
Raw formation energy, kJ/mol of formula units: -228

a b c (Å): 3.062 6.235 6.421
angles (deg): 111.59 90.38 91.79
Space group P-1 (No. 2)
Inequivalent atoms, fractional coordinates:
Y 0.215 0.200 0.281
Re 0.269 0.674 0.130
N 0.239 0.117 0.902
N 0.247 0.515 0.769
N 0.352 0.914 0.470

First-principles (PBE) data for crystalline YReN3 at its relaxed geometry, as listed in the Alexandria database.

## Properties
E_tot, eV/atom: -9.23
Raw formation energy, kJ/mol of formula units: -219

a b c (Å): 3.5019 3.5019 12.4348
angles (deg): 90.00 90.00 120.00
Space group P6_3/mmc (No. 194)
Inequivalent atoms, fractional coordinates:
Y 0.0000 0.0000 0.0000
Re 0.3333 0.6667 0.2500
N 0.0000 0.0000 0.2500
N 0.3333 0.6667 0.0967